Compound: Sr2LaCd
Source: the Alexandria database
Functional: GGA-PBE
Structure: optimized geometry

Lattice parameters (Å, degrees): 5.990 5.990 8.418 90.00 90.00 90.00
Element x y z (fractional)
Sr: 0.000 0.000 0.000
Sr: 0.000 0.500 0.250
Sr: 0.500 0.000 0.750
Sr: 0.500 0.500 0.500
La: 0.000 0.000 0.500
La: 0.500 0.500 0.000
Cd: 0.000 0.500 0.750
Cd: 0.500 0.000 0.250

symmetry: No. 119
VASP energy: -18.108 eV for the cell shown
E_form: 38 meV/atom